# CaPS2O (GGA-PBE, optimized geometry)
# Total magnetization ... 2.32 μB per formula unit
# Density ... 1.571 Mg/m³
# Uncorrected formation energy ... 1.069 eV per atom
# Volume ... 159.84 Å³ per cell
data_CaPS2O
_chemical_formula_sum 'Ca1 P1 S2 O1'
_space_group_name_H-M_alt 'P 4/m m m'
_space_group_IT_number 123
_space_group_name_Hall '-P 4 2'
_cell_length_a 5.326
_cell_length_b 5.326
_cell_length_c 5.634
_cell_angle_alpha 90.00
_cell_angle_beta 90.00
_cell_angle_gamma 90.00
loop_
_atom_site_label
_atom_site_type_symbol
_atom_site_fract_x
_atom_site_fract_y
_atom_site_fract_z
Ca1 Ca 0.000 0.000 0.000
P1 P 0.000 0.000 0.500
S1 S 0.000 0.500 0.000
O1 O 0.500 0.500 0.500